# 1
Computed, not measured: an optimized crystal structure of InF3 at the PBE level of DFT.

Lattice parameters (Å, degrees): 3.7458 3.7458 7.6542 75.84 75.84 90.00
Sites, in units of the cell vectors:
In 0.7500 0.2500 0.5000
In 0.0000 0.0000 0.0000
F 0.6875 0.1250 0.2500
F 0.2500 0.7500 0.5000
F 0.5000 0.5000 0.0000
F 0.8750 0.9375 0.7500
F 0.0625 0.6250 0.2500
F 0.3750 0.3125 0.7500

## Properties
energy = -3.909 eV/atom
E_form (uncorrected) = -1.8211 eV per atom



# 2
Computed, not measured: an optimized crystal structure of RuSe at the PBE level of DFT.

Lattice parameters (Å, degrees): 7.4489 7.4489 7.4489 90.00 90.00 90.00
Sites, in units of the cell vectors:
Ru 0.8680 0.8680 0.8680
Ru 0.6320 0.3680 0.6320
Ru 0.6320 0.6320 0.3680
Ru 0.3680 0.6320 0.6320
Ru 0.1320 0.8680 0.1320
Ru 0.3680 0.3680 0.3680
Ru 0.1320 0.1320 0.8680
Ru 0.8680 0.1320 0.1320
Se 0.1857 0.8143 0.8143
Se 0.6857 0.3143 0.3143
Se 0.3143 0.6857 0.3143
Se 0.8143 0.8143 0.1857
Se 0.1857 0.1857 0.1857
Se 0.3143 0.3143 0.6857
Se 0.8143 0.1857 0.8143
Se 0.6857 0.6857 0.6857

## Properties
energy = -6.345 eV/atom
E_form (uncorrected) = 0.0353 eV per atom



# 3
Computed, not measured: an optimized crystal structure of KSrBeF6 at the PBE level of DFT.

Lattice parameters (Å, degrees): 5.6789 5.6789 5.4848 90.00 90.00 60.00
Sites, in units of the cell vectors:
F 0.3219 0.5942 0.3137
F 0.5941 0.3219 0.6862
F 0.0839 0.3219 0.3137
F 0.3219 0.0840 0.6862
F 0.0839 0.5942 0.6862
F 0.5941 0.0839 0.3137
K 0.0000 0.0000 0.0000
Sr 0.6666 0.6667 0.5000
Be 0.3333 0.3334 0.5000

## Properties
energy = -4.808 eV/atom
E_form (uncorrected) = -2.8376 eV per atom



# 4
Computed, not measured: an optimized crystal structure of ZrAlAs2 at the PBE level of DFT.

Lattice parameters (Å, degrees): 5.0654 5.0654 5.0654 137.46 120.71 75.67
Sites, in units of the cell vectors:
As 0.0267 0.0267 0.0000
As 0.4733 0.4733 0.0000
Zr 0.7500 0.2500 0.5000
Al 0.2500 0.7500 0.5000

## Properties
calculated formation energy = -0.423 eV/atom
energy = -5.820 eV/atom



# 5
Computed, not measured: an optimized crystal structure of LaTmGa4 at the PBE level of DFT.

Lattice parameters (Å, degrees): 5.6027 5.6027 5.6027 60.00 60.00 60.00
Sites, in units of the cell vectors:
Tm 0.2500 0.2500 0.2500
Ga 0.6250 0.6250 0.1251
Ga 0.1251 0.6250 0.6250
Ga 0.6250 0.1251 0.6250
Ga 0.6250 0.6250 0.6250
La 0.0000 0.0000 0.0000

## Properties
calculated formation energy = -0.521 eV/atom
energy = -4.106 eV/atom



# 6
Computed, not measured: an optimized crystal structure of PrScAs2 at the PBE level of DFT.

Lattice parameters (Å, degrees): 4.1112 4.1112 7.0645 73.08 73.08 60.00
Sites, in units of the cell vectors:
As 0.7411 0.7411 0.7766
As 0.2589 0.2589 0.2234
Pr 0.5000 0.5000 0.5000
Sc 0.0000 0.0000 0.0000

## Properties
calculated formation energy = -1.400 eV/atom
energy = -6.503 eV/atom



# 7
Computed, not measured: an optimized crystal structure of ReMoW2 at the PBE level of DFT.

Lattice parameters (Å, degrees): 5.2414 5.2414 4.4796 64.56 64.56 35.13
Sites, in units of the cell vectors:
Re 0.2500 0.2500 0.2500
W 0.0010 0.0010 0.9990
W 0.4990 0.4990 0.5010
Mo 0.7500 0.7500 0.7500

## Properties
calculated formation energy = 0.045 eV/atom
energy = -12.251 eV/atom



# 8
Computed, not measured: an optimized crystal structure of TmPa2Mn9 at the PBE level of DFT.

Lattice parameters (Å, degrees): 4.8491 4.8491 8.8760 74.15 74.15 60.00
Sites, in units of the cell vectors:
Mn 0.5820 0.5820 0.7630
Mn 0.5820 0.0730 0.7630
Mn 0.0730 0.5820 0.7630
Mn 0.6624 0.6624 0.0127
Mn 0.4180 0.4180 0.2370
Mn 0.5000 0.5000 0.5000
Mn 0.4180 0.9270 0.2370
Mn 0.9270 0.4180 0.2370
Mn 0.3376 0.3376 0.9873
Tm 0.0000 0.0000 0.0000
Pa 0.8550 0.8550 0.4350
Pa 0.1450 0.1450 0.5650

## Properties
calculated formation energy = 0.008 eV/atom
energy = -8.825 eV/atom



# 9
Computed, not measured: an optimized crystal structure of TbNd2Ho3Er6 at the PBE level of DFT.

Lattice parameters (Å, degrees): 6.1391 6.1391 11.7150 95.00 95.00 119.96
Sites, in units of the cell vectors:
Er 0.5821 0.9150 0.7468
Er 0.4179 0.0850 0.2532
Er 0.2476 0.2476 0.7467
Er 0.0850 0.4179 0.2532
Er 0.7524 0.7524 0.2533
Er 0.9150 0.5821 0.7468
Ho 0.5000 0.5000 0.5000
Ho 0.8335 0.1665 0.5000
Ho 0.1665 0.8335 0.5000
Nd 0.3333 0.6667 0.0000
Nd 0.6667 0.3333 0.0000
Tb 0.0000 0.0000 0.0000

## Properties
calculated formation energy = 0.020 eV/atom
energy = -4.586 eV/atom



# 10
Computed, not measured: an optimized crystal structure of LaSi2N at the PBE level of DFT.

Lattice parameters (Å, degrees): 6.4603 6.4603 5.7838 56.05 56.05 90.00
Sites, in units of the cell vectors:
Si 0.2643 0.6250 0.2500
Si 0.4857 0.1250 0.2500
Si 0.3750 0.5143 0.7500
Si 0.8750 0.7357 0.7500
N 0.2500 0.7500 0.5000
N 0.5000 0.5000 0.0000
La 0.0000 0.0000 0.0000
La 0.7500 0.2500 0.5000

## Properties
energy = -6.004 eV/atom
E_form (uncorrected) = 0.0210 eV per atom



# 11
Computed, not measured: an optimized crystal structure of KSc2Pt at the PBE level of DFT.

Lattice parameters (Å, degrees): 3.6870 3.7034 9.3076 69.03 90.00 90.00
Sites, in units of the cell vectors:
K 0.0000 0.5034 0.5363
Sc 0.5000 0.3392 0.1650
Sc 0.0000 0.0454 0.9355
Pt 0.5000 0.6120 0.8632

## Properties
calculated formation energy = -0.287 eV/atom
energy = -5.237 eV/atom



# 12
Computed, not measured: an optimized crystal structure of Tb3Mg5Hg2 at the PBE level of DFT.

Lattice parameters (Å, degrees): 6.2990 9.6388 9.6388 86.21 70.93 70.93
Sites, in units of the cell vectors:
Hg 0.6390 0.0086 0.7134
Hg 0.8610 0.2866 0.9914
Hg 0.3610 0.9914 0.2866
Hg 0.1390 0.7134 0.0086
Mg 0.6134 0.2343 0.5388
Mg 0.8866 0.4612 0.7657
Mg 0.4932 0.2568 0.2568
Mg 0.2500 0.5000 0.5000
Mg 0.1134 0.5388 0.2343
Mg 0.9932 0.2568 0.2568
Mg 0.3866 0.7657 0.4612
Mg 0.7500 0.5000 0.5000
Mg 0.0068 0.7432 0.7432
Mg 0.5068 0.7432 0.7432
Tb 0.3659 0.3791 0.8891
Tb 0.2500 0.0000 0.0000
Tb 0.1341 0.1109 0.6209
Tb 0.6341 0.6209 0.1109
Tb 0.7500 0.0000 0.0000
Tb 0.8659 0.8891 0.3791

## Properties
calculated formation energy = -0.101 eV/atom
energy = -2.348 eV/atom



# 13
Computed, not measured: an optimized crystal structure of CaSm6Tm3 at the PBE level of DFT.

Lattice parameters (Å, degrees): 3.6277 12.3538 15.5353 103.70 90.00 90.00
Sites, in units of the cell vectors:
Tm 0.2500 0.3232 0.3588
Tm 0.2500 0.8767 0.7657
Tm 0.7500 0.6768 0.6412
Tm 0.7500 0.9238 0.3517
Tm 0.2500 0.0762 0.6483
Tm 0.7500 0.1233 0.2343
Sm 0.2500 0.8124 0.5015
Sm 0.7500 0.1124 0.8457
Sm 0.7500 0.3909 0.1826
Sm 0.2500 0.6091 0.8174
Sm 0.7500 0.5620 0.4207
Sm 0.7500 0.3304 0.7328
Sm 0.2500 0.4380 0.5793
Sm 0.2500 0.6696 0.2672
Sm 0.7500 0.8699 0.9491
Sm 0.7500 0.1876 0.4985
Sm 0.2500 0.8876 0.1543
Sm 0.2500 0.1301 0.0509
Ca 0.7500 0.6303 0.0491
Ca 0.2500 0.3697 0.9509

## Properties
calculated formation energy = 0.090 eV/atom
energy = -4.283 eV/atom



# 14
Computed, not measured: an optimized crystal structure of TiV4Zn at the PBE level of DFT.

Lattice parameters (Å, degrees): 4.9832 4.9832 4.9832 60.00 60.00 60.00
Sites, in units of the cell vectors:
Zn 0.0000 0.0000 0.0000
V 0.6223 0.1331 0.6223
V 0.1331 0.6223 0.6223
V 0.6223 0.6223 0.6223
V 0.6223 0.6223 0.1331
Ti 0.2500 0.2500 0.2500

## Properties
calculated formation energy = 0.143 eV/atom
energy = -7.465 eV/atom



# 15
Computed, not measured: an optimized crystal structure of Nd2UN at the PBE level of DFT.

Lattice parameters (Å, degrees): 3.4213 3.4213 9.9378 80.09 80.09 60.00
Sites, in units of the cell vectors:
U 0.0000 0.0000 0.0000
Nd 0.8831 0.8831 0.3508
Nd 0.1169 0.1169 0.6492
N 0.5000 0.5000 0.5000

## Properties
energy = -7.468 eV/atom
E_form (uncorrected) = -0.1810 eV per atom



# 16
Computed, not measured: an optimized crystal structure of Er2NiGe at the PBE level of DFT.

Lattice parameters (Å, degrees): 4.1127 5.7451 7.6477 110.40 90.00 90.00
Sites, in units of the cell vectors:
Er 0.2500 0.7764 0.5891
Er 0.2500 0.7823 0.0555
Er 0.7500 0.2177 0.9445
Er 0.7500 0.2236 0.4109
Ge 0.7500 0.6643 0.2914
Ge 0.2500 0.3357 0.7086
Ni 0.7500 0.6344 0.7848
Ni 0.2500 0.3656 0.2152

## Properties
calculated formation energy = -0.699 eV/atom
energy = -5.580 eV/atom



# 17
Computed, not measured: an optimized crystal structure of Tb3Rh at the PBE level of DFT.

Lattice parameters (Å, degrees): 3.6461 5.3442 6.2908 115.14 106.85 90.00
Sites, in units of the cell vectors:
Tb 0.5000 0.4166 0.0000
Tb 0.6989 0.1155 0.3979
Tb 0.3011 0.7177 0.6021
Rh 0.0000 0.9169 0.0000

## Properties
calculated formation energy = -0.431 eV/atom
energy = -5.742 eV/atom



# 18
Computed, not measured: an optimized crystal structure of WN at the PBE level of DFT.

Lattice parameters (Å, degrees): 2.8766 2.8766 2.9071 90.00 90.00 120.00
Sites, in units of the cell vectors:
W 0.3333 0.6667 0.0000
N 0.6667 0.3333 0.5000

## Properties
energy = -10.719 eV/atom
E_form (uncorrected) = -0.0793 eV per atom



# 19
Computed, not measured: an optimized crystal structure of Tb3YErSc at the PBE level of DFT.

Lattice parameters (Å, degrees): 4.9740 7.8206 10.4890 116.39 90.00 90.00
Sites, in units of the cell vectors:
Tb 0.7500 0.8742 0.0440
Tb 0.2500 0.6330 0.4580
Tb 0.2500 0.1258 0.9560
Tb 0.2500 0.6188 0.7903
Tb 0.7500 0.3812 0.2097
Tb 0.7500 0.3670 0.5420
Er 0.2500 0.6274 0.1274
Er 0.7500 0.3726 0.8726
Sc 0.7500 0.8780 0.3779
Sc 0.2500 0.1220 0.6221
Y 0.7500 0.8775 0.7039
Y 0.2500 0.1225 0.2961

## Properties
calculated formation energy = 0.037 eV/atom
energy = -5.171 eV/atom



# 20
Computed, not measured: an optimized crystal structure of Sm4CoTeCl2 at the PBE level of DFT.

Lattice parameters (Å, degrees): 4.0077 7.4254 7.8786 69.62 90.00 90.00
Sites, in units of the cell vectors:
Cl 0.0000 0.0000 0.0000
Cl 0.5000 0.0000 0.5000
Sm 0.5000 0.7070 0.2934
Sm 0.0000 0.7339 0.7009
Sm 0.5000 0.2930 0.7066
Sm 0.0000 0.2661 0.2991
Co 0.0000 0.5000 0.5000
Te 0.5000 0.5000 0.0000

## Properties
energy = -5.186 eV/atom
E_form (uncorrected) = -1.0837 eV per atom